# LiSe2Br PBE relaxed
# - formation energy from raw total energies (eV per atom) = -0.6269
data_LiSe2Br
_chemical_formula_sum 'Li1 Se2 Br1'
_cell_length_a 3.640
_cell_length_b 3.640
_cell_length_c 8.747
_cell_angle_alpha 90.00
_cell_angle_beta 90.00
_cell_angle_gamma 90.00
_space_group_name_H-M_alt 'P 1'
_space_group_IT_number 1
loop_
_space_group_symop_operation_xyz
'x,y,z'
loop_
_atom_site_label
_atom_site_type_symbol
_atom_site_fract_x
_atom_site_fract_y
_atom_site_fract_z
_atom_site_occupancy
Li1 Li 0.000 0.000 0.000 1
Se1 Se 0.000 0.000 0.385 1
Se2 Se 0.500 0.500 0.465 1
Br1 Br 0.500 0.500 0.980 1